[1]
## Er4AlRu (PBE-GGA)

Data for an optimized crystal structure of Er4AlRu.

```
Er4AlRu
1.0
4.250 -6.345 0.000
4.250 6.345 0.000
-1.832 0.000 5.782
Er Al Ru
8 2 2
Direct
0.063 0.721 0.953
0.210 0.364 0.605
0.279 0.937 0.547
0.364 0.210 0.105
0.636 0.790 0.895
0.721 0.063 0.453
0.790 0.636 0.395
0.937 0.279 0.047
0.375 0.625 0.250
0.625 0.375 0.750
0.001 0.999 0.750
0.999 0.001 0.250
```

Results
Size of the total moment (μB/cell): 0.0
Calculated density (Mg/m³): 8.489
E_tot (eV/atom): -5.5432

***

[2]
## Er4AlRu (PBE-GGA)

Data for an optimized crystal structure of Er4AlRu.

```
Er4AlRu
1.0
0.000 6.665 6.665
6.665 0.000 6.665
6.665 6.665 0.000
Er Al Ru
16 4 4
Direct
0.189 0.189 0.811
0.189 0.811 0.189
0.189 0.811 0.811
0.399 0.399 0.399
0.399 0.399 0.802
0.399 0.802 0.399
0.556 0.556 0.944
0.556 0.944 0.556
0.556 0.944 0.944
0.802 0.399 0.399
0.811 0.189 0.189
0.811 0.189 0.811
0.811 0.811 0.189
0.944 0.556 0.556
0.944 0.556 0.944
0.944 0.944 0.556
0.173 0.173 0.173
0.173 0.173 0.481
0.173 0.481 0.173
0.481 0.173 0.173
0.170 0.610 0.610
0.610 0.170 0.610
0.610 0.610 0.170
0.610 0.610 0.610
```

Results
Size of the total moment (μB/cell): 0.0
Calculated density (Mg/m³): 8.941
E_tot (eV/atom): -5.5985

***

[3]
## ErAl2Ru (PBE-GGA)

Data for an optimized crystal structure of ErAl2Ru.

```
ErAl2Ru
1.0
2.116 1.222 4.961
-2.116 1.222 4.961
0.000 -2.443 4.961
Er Al Ru
1 2 1
Direct
0.000 0.000 0.000
0.208 0.208 0.208
0.792 0.792 0.792
0.500 0.500 0.500
```

Results
Size of the total moment (μB/cell): 0.0
Calculated density (Mg/m³): 6.956
E_tot (eV/atom): -5.8308

***

[4]
## ErAl2Ru (PBE-GGA)

Data for an optimized crystal structure of ErAl2Ru.

```
ErAl2Ru
1.0
3.130 0.000 0.000
0.000 3.130 0.000
0.000 0.000 7.215
Er Al Ru
1 2 1
Direct
0.000 0.000 0.000
0.500 0.500 0.311
0.500 0.500 0.689
0.000 0.000 0.500
```

Results
Size of the total moment (μB/cell): 0.0
Calculated density (Mg/m³): 7.569
E_tot (eV/atom): -5.8590

***

[5]
## ErAlRu (PBE-GGA)

Data for an optimized crystal structure of ErAlRu.

```
ErAlRu
1.0
-1.640 1.640 5.166
1.640 -1.640 5.166
1.640 1.640 -5.166
Er Al Ru
1 1 1
Direct
0.000 0.000 0.000
0.288 0.288 0.000
0.677 0.677 0.000
```

Results
Size of the total moment (μB/cell): 0.0
Calculated density (Mg/m³): 8.822
E_tot (eV/atom): -6.3876

***

[6]
## ErScAlRu (PBE-GGA)

Data for an optimized crystal structure of ErScAlRu.

```
ErScAlRu
1.0
0.000 3.386 3.386
3.386 0.000 3.386
3.386 3.386 0.000
Er Sc Al Ru
1 1 1 1
Direct
0.000 0.000 0.000
0.500 0.500 0.500
0.750 0.750 0.750
0.250 0.250 0.250
```

Results
Size of the total moment (μB/cell): 0.0
Calculated density (Mg/m³): 7.277
E_tot (eV/atom): -6.4112